1.
# La8Tb3Pr3 (PBE, optimized geometry)
# raw total energy: -4.734 eV per atom
# formation energy from the elements: 0.10 eV/atom
# spin magnetization: 0.00 Bohr magnetons per cell
data_La8Tb3Pr3
_chemical_formula_sum 'La16 Tb6 Pr6'
_space_group_name_H-M_alt 'I m m m'
_space_group_IT_number 71
_space_group_name_Hall '-I 2 2'
_cell_length_a 5.771
_cell_length_b 11.110
_cell_length_c 15.511
_cell_angle_alpha 90.00
_cell_angle_beta 90.00
_cell_angle_gamma 90.00
loop_
_atom_site_label
_atom_site_type_symbol
_atom_site_fract_x
_atom_site_fract_y
_atom_site_fract_z
La1 La 0.000 0.156 0.231
La2 La 0.000 0.338 0.393
Tb1 Tb 0.000 0.000 0.500
Tb2 Tb 0.000 0.500 0.178
Pr1 Pr 0.000 0.000 0.000
Pr2 Pr 0.000 0.305 0.000



2.
# La4TbPr2 (PBE, optimized geometry)
# raw total energy: -4.654 eV per atom
# formation energy from the elements: 0.19 eV/atom
# spin magnetization: 0.00 Bohr magnetons per cell
data_La4TbPr2
_chemical_formula_sum 'La16 Tb4 Pr8'
_space_group_name_H-M_alt 'I m m a'
_space_group_IT_number 74
_space_group_name_Hall '-I 2b 2'
_cell_length_a 7.001
_cell_length_b 11.760
_cell_length_c 12.435
_cell_angle_alpha 90.00
_cell_angle_beta 90.00
_cell_angle_gamma 90.00
loop_
_atom_site_label
_atom_site_type_symbol
_atom_site_fract_x
_atom_site_fract_y
_atom_site_fract_z
La1 La 0.000 0.004 0.146
La2 La 0.219 0.250 0.994
Tb1 Tb 0.250 0.250 0.250
Pr1 Pr 0.000 0.000 0.500
Pr2 Pr 0.000 0.250 0.718



3.
# La6Tb12Pr (PBE, optimized geometry)
# raw total energy: -4.523 eV per atom
# formation energy from the elements: 0.21 eV/atom
# spin magnetization: 0.00 Bohr magnetons per cell
data_La6Tb12Pr
_chemical_formula_sum 'La18 Tb36 Pr3'
_space_group_name_H-M_alt 'R -3 m'
_space_group_IT_number 166
_space_group_name_Hall '-R 3 2"'
_cell_length_a 13.4530
_cell_length_b 13.4530
_cell_length_c 12.7933
_cell_angle_alpha 90.00
_cell_angle_beta 90.00
_cell_angle_gamma 120.00
loop_
_atom_site_label
_atom_site_type_symbol
_atom_site_fract_x
_atom_site_fract_y
_atom_site_fract_z
La1 La 0.0385 0.5192 0.1148
Tb1 Tb 0.0000 0.2547 0.0000
Tb2 Tb 0.0919 0.1837 0.7643
Pr1 Pr 0.0000 0.0000 0.5000



4.
# La7Tb3Pr (PBE, optimized geometry)
# raw total energy: -4.662 eV per atom
# formation energy from the elements: 0.17 eV/atom
# spin magnetization: 0.00 Bohr magnetons per cell
data_La7Tb3Pr
_chemical_formula_sum 'La7 Tb3 Pr1'
_space_group_name_H-M_alt 'P 3 m 1'
_space_group_IT_number 156
_cell_length_a 7.3386
_cell_length_b 7.3386
_cell_length_c 8.6741
_cell_angle_alpha 90.00
_cell_angle_beta 90.00
_cell_angle_gamma 120.00
loop_
_space_group_symop_operation_xyz
'x,y,z'
'-y,x-y,z'
'-x+y,-x,z'
'-y,-x,z'
'-x+y,y,z'
'x,x-y,z'
loop_
_atom_site_label
_atom_site_type_symbol
_atom_site_fract_x
_atom_site_fract_y
_atom_site_fract_z
La1 La 0.0000 0.0000 0.0000
La2 La 0.0052 0.5026 0.0309
La3 La 0.1690 0.3381 0.6671
Tb1 Tb 0.3333 0.1667 0.3485
Pr1 Pr 0.6667 0.3333 0.6951



5.
# La12TbPr5 (PBE, optimized geometry)
# raw total energy: -4.855 eV per atom
# formation energy from the elements: 0.01 eV/atom
# spin magnetization: 0.00 Bohr magnetons per cell
data_La12TbPr5
_chemical_formula_sum 'La24 Tb2 Pr10'
_space_group_name_H-M_alt 'C 1 2/m 1'
_space_group_IT_number 12
_cell_length_a 19.309
_cell_length_b 11.131
_cell_length_c 6.445
_cell_angle_alpha 90.00
_cell_angle_beta 109.34
_cell_angle_gamma 90.00
loop_
_space_group_symop_operation_xyz
'x,y,z'
'-x,-y,-z'
'-x,y,-z'
'x,-y,z'
'x+1/2,y+1/2,z'
'-x+1/2,-y+1/2,-z'
'-x+1/2,y+1/2,-z'
'x+1/2,-y+1/2,z'
loop_
_atom_site_label
_atom_site_type_symbol
_atom_site_fract_x
_atom_site_fract_y
_atom_site_fract_z
La1 La 0.000 0.166 0.000
La2 La 0.000 0.330 0.500
La3 La 0.166 0.168 0.832
La4 La 0.167 0.332 0.332
Tb1 Tb 0.000 0.000 0.500
Pr1 Pr 0.000 0.500 0.000
Pr2 Pr 0.166 0.000 0.334
Pr3 Pr 0.167 0.500 0.832



6.
# La6Tb3Pr (PBE, optimized geometry)
# raw total energy: -4.635 eV per atom
# formation energy from the elements: 0.19 eV/atom
# spin magnetization: 0.00 Bohr magnetons per cell
data_La6Tb3Pr
_chemical_formula_sum 'La18 Tb9 Pr3'
_space_group_name_H-M_alt 'R 3'
_space_group_IT_number 146
_space_group_name_Hall 'R 3'
_cell_length_a 10.1003
_cell_length_b 10.1003
_cell_length_c 12.2764
_cell_angle_alpha 90.00
_cell_angle_beta 90.00
_cell_angle_gamma 120.00
loop_
_atom_site_label
_atom_site_type_symbol
_atom_site_fract_x
_atom_site_fract_y
_atom_site_fract_z
La1 La 0.0003 0.3260 0.0000
La2 La 0.0003 0.6759 0.5000
Tb1 Tb 0.0000 0.0000 0.2530
Tb2 Tb 0.0000 0.0000 0.5002
Tb3 Tb 0.0000 0.0000 0.7473
Pr1 Pr 0.0000 0.0000 0.0004



7.
# La4Tb2Pr (PBE, optimized geometry)
# raw total energy: -4.754 eV per atom
# formation energy from the elements: 0.07 eV/atom
# spin magnetization: 0.00 Bohr magnetons per cell
data_La4Tb2Pr
_chemical_formula_sum 'La16 Tb8 Pr4'
_space_group_name_H-M_alt 'C 1 c 1'
_space_group_IT_number 9
_cell_length_a 6.579
_cell_length_b 24.747
_cell_length_c 6.943
_cell_angle_alpha 90.00
_cell_angle_beta 118.05
_cell_angle_gamma 90.00
loop_
_space_group_symop_operation_xyz
'x,y,z'
'x,-y,z+1/2'
'x+1/2,y+1/2,z'
'x+1/2,-y+1/2,z+1/2'
loop_
_atom_site_label
_atom_site_type_symbol
_atom_site_fract_x
_atom_site_fract_y
_atom_site_fract_z
La1 La 0.000 0.019 0.000
La2 La 0.088 0.303 0.215
La3 La 0.124 0.268 0.750
La4 La 0.499 0.052 0.538
Tb1 Tb 0.060 0.408 0.578
Tb2 Tb 0.108 0.158 0.173
Pr1 Pr 0.032 0.125 0.625



8.
# La7Tb12Pr (PBE, optimized geometry)
# raw total energy: -4.157 eV per atom
# formation energy from the elements: 0.59 eV/atom
# spin magnetization: 0.00 Bohr magnetons per cell
data_La7Tb12Pr
_chemical_formula_sum 'La14 Tb24 Pr2'
_space_group_name_H-M_alt 'I m -3 m'
_space_group_IT_number 229
_space_group_name_Hall '-I 4 2 3'
_cell_length_a 11.423
_cell_length_b 11.423
_cell_length_c 11.423
_cell_angle_alpha 90.00
_cell_angle_beta 90.00
_cell_angle_gamma 90.00
loop_
_atom_site_label
_atom_site_type_symbol
_atom_site_fract_x
_atom_site_fract_y
_atom_site_fract_z
La1 La 0.000 0.000 0.500
La2 La 0.250 0.250 0.250
Tb1 Tb 0.000 0.249 0.249
Pr1 Pr 0.000 0.000 0.000



9.
# La3Tb3Pr5 (PBE, optimized geometry)
# raw total energy: -4.485 eV per atom
# formation energy from the elements: 0.29 eV/atom
# spin magnetization: 0.00 Bohr magnetons per cell
data_La3Tb3Pr5
_chemical_formula_sum 'La3 Tb3 Pr5'
_space_group_name_H-M_alt 'P -6 2 m'
_space_group_IT_number 189
_space_group_name_Hall 'P -6 -2'
_cell_length_a 11.5543
_cell_length_b 11.5543
_cell_length_c 3.4783
_cell_angle_alpha 90.00
_cell_angle_beta 90.00
_cell_angle_gamma 120.00
loop_
_atom_site_label
_atom_site_type_symbol
_atom_site_fract_x
_atom_site_fract_y
_atom_site_fract_z
La1 La 0.0000 0.4000 0.0000
Tb1 Tb 0.0000 0.1582 0.5000
Pr1 Pr 0.0000 0.6633 0.5000
Pr2 Pr 0.3333 0.6667 0.5000



10.
# LaTb4Pr6 (PBE, optimized geometry)
# raw total energy: -4.591 eV per atom
# formation energy from the elements: 0.15 eV/atom
# spin magnetization: 0.00 Bohr magnetons per cell
data_LaTb4Pr6
_chemical_formula_sum 'La1 Tb4 Pr6'
_space_group_name_H-M_alt 'P -6 m 2'
_space_group_IT_number 187
_space_group_name_Hall 'P -6 2'
_cell_length_a 11.2356
_cell_length_b 11.2356
_cell_length_c 3.6285
_cell_angle_alpha 90.00
_cell_angle_beta 90.00
_cell_angle_gamma 120.00
loop_
_atom_site_label
_atom_site_type_symbol
_atom_site_fract_x
_atom_site_fract_y
_atom_site_fract_z
La1 La 0.0000 0.0000 0.0000
Tb1 Tb 0.3239 0.1620 0.5000
Tb2 Tb 0.3333 0.6667 0.0000
Pr1 Pr 0.1831 0.3662 0.5000
Pr2 Pr 0.5252 0.0504 0.0000



11.
# La2Tb9Pr (PBE, optimized geometry)
# raw total energy: -4.668 eV per atom
# formation energy from the elements: 0.02 eV/atom
# spin magnetization: 0.00 Bohr magnetons per cell
data_La2Tb9Pr
_chemical_formula_sum 'La2 Tb9 Pr1'
_space_group_name_H-M_alt 'P 4/m m m'
_space_group_IT_number 123
_space_group_name_Hall '-P 4 2'
_cell_length_a 5.101
_cell_length_b 5.101
_cell_length_c 15.304
_cell_angle_alpha 90.00
_cell_angle_beta 90.00
_cell_angle_gamma 90.00
loop_
_atom_site_label
_atom_site_type_symbol
_atom_site_fract_x
_atom_site_fract_y
_atom_site_fract_z
La1 La 0.000 0.000 0.166
Tb1 Tb 0.000 0.500 0.000
Tb2 Tb 0.000 0.500 0.334
Tb3 Tb 0.500 0.500 0.167
Tb4 Tb 0.500 0.500 0.500
Pr1 Pr 0.000 0.000 0.500



12.
# La4Tb7Pr2 (PBE, optimized geometry)
# raw total energy: -4.722 eV per atom
# formation energy from the elements: 0.02 eV/atom
# spin magnetization: 0.00 Bohr magnetons per cell
data_La4Tb7Pr2
_chemical_formula_sum 'La4 Tb7 Pr2'
_space_group_name_H-M_alt 'P -1'
_space_group_IT_number 2
_cell_length_a 6.305
_cell_length_b 8.140
_cell_length_c 9.625
_cell_angle_alpha 65.31
_cell_angle_beta 83.83
_cell_angle_gamma 82.66
loop_
_space_group_symop_operation_xyz
'x,y,z'
'-x,-y,-z'
loop_
_atom_site_label
_atom_site_type_symbol
_atom_site_fract_x
_atom_site_fract_y
_atom_site_fract_z
La1 La 0.035 0.422 0.347
La2 La 0.192 0.113 0.730
Tb1 Tb 0.118 0.272 0.039
Tb2 Tb 0.272 0.962 0.423
Tb3 Tb 0.424 0.654 0.809
Tb4 Tb 0.500 0.500 0.500
Pr1 Pr 0.346 0.805 0.116



13.
# La4TbPr15 (PBE, optimized geometry)
# raw total energy: -4.788 eV per atom
# formation energy from the elements: 0.01 eV/atom
# spin magnetization: 0.00 Bohr magnetons per cell
data_La4TbPr15
_chemical_formula_sum 'La4 Tb1 Pr15'
_space_group_name_H-M_alt 'P 4/m m m'
_space_group_IT_number 123
_space_group_name_Hall '-P 4 2'
_cell_length_a 5.260
_cell_length_b 5.260
_cell_length_c 26.236
_cell_angle_alpha 90.00
_cell_angle_beta 90.00
_cell_angle_gamma 90.00
loop_
_atom_site_label
_atom_site_type_symbol
_atom_site_fract_x
_atom_site_fract_y
_atom_site_fract_z
La1 La 0.000 0.000 0.100
La2 La 0.000 0.000 0.301
Tb1 Tb 0.000 0.000 0.500
Pr1 Pr 0.000 0.500 0.000
Pr2 Pr 0.000 0.500 0.201
Pr3 Pr 0.000 0.500 0.402
Pr4 Pr 0.500 0.500 0.100
Pr5 Pr 0.500 0.500 0.302
Pr6 Pr 0.500 0.500 0.500



14.
# LaTbPr2 (PBE, optimized geometry)
# raw total energy: -4.761 eV per atom
# formation energy from the elements: 0.02 eV/atom
# spin magnetization: 0.00 Bohr magnetons per cell
data_LaTbPr2
_chemical_formula_sum 'La2 Tb2 Pr4'
_space_group_name_H-M_alt 'C 1 m 1'
_space_group_IT_number 8
_cell_length_a 6.385
_cell_length_b 3.685
_cell_length_c 12.237
_cell_angle_alpha 90.00
_cell_angle_beta 100.04
_cell_angle_gamma 90.00
loop_
_space_group_symop_operation_xyz
'x,y,z'
'x,-y,z'
'x+1/2,y+1/2,z'
'x+1/2,-y+1/2,z'
loop_
_atom_site_label
_atom_site_type_symbol
_atom_site_fract_x
_atom_site_fract_y
_atom_site_fract_z
La1 La 0.000 0.000 0.000
Tb1 Tb 0.167 0.000 0.501
Pr1 Pr 0.083 0.500 0.744
Pr2 Pr 0.254 0.500 0.259



15.
# La2Tb5Pr5 (PBE, optimized geometry)
# raw total energy: -4.722 eV per atom
# formation energy from the elements: 0.02 eV/atom
# spin magnetization: 0.00 Bohr magnetons per cell
data_La2Tb5Pr5
_chemical_formula_sum 'La4 Tb10 Pr10'
_space_group_name_H-M_alt 'C 1 2/m 1'
_space_group_IT_number 12
_cell_length_a 15.583
_cell_length_b 5.156
_cell_length_c 11.586
_cell_angle_alpha 90.00
_cell_angle_beta 116.76
_cell_angle_gamma 90.00
loop_
_space_group_symop_operation_xyz
'x,y,z'
'-x,-y,-z'
'-x,y,-z'
'x,-y,z'
'x+1/2,y+1/2,z'
'-x+1/2,-y+1/2,-z'
'-x+1/2,y+1/2,-z'
'x+1/2,-y+1/2,z'
loop_
_atom_site_label
_atom_site_type_symbol
_atom_site_fract_x
_atom_site_fract_y
_atom_site_fract_z
La1 La 0.083 0.000 0.251
Tb1 Tb 0.000 0.500 0.000
Tb2 Tb 0.083 0.500 0.749
Tb3 Tb 0.167 0.500 0.501
Pr1 Pr 0.000 0.000 0.500
Pr2 Pr 0.166 0.000 0.000
Pr3 Pr 0.248 0.000 0.747



16.
# La4Tb6Pr (PBE, optimized geometry)
# raw total energy: -4.595 eV per atom
# formation energy from the elements: 0.16 eV/atom
# spin magnetization: 0.00 Bohr magnetons per cell
data_La4Tb6Pr
_chemical_formula_sum 'La4 Tb6 Pr1'
_space_group_name_H-M_alt 'P -6 m 2'
_space_group_IT_number 187
_space_group_name_Hall 'P -6 2'
_cell_length_a 11.2045
_cell_length_b 11.2045
_cell_length_c 3.5640
_cell_angle_alpha 90.00
_cell_angle_beta 90.00
_cell_angle_gamma 120.00
loop_
_atom_site_label
_atom_site_type_symbol
_atom_site_fract_x
_atom_site_fract_y
_atom_site_fract_z
La1 La 0.0000 0.0000 0.0000
La2 La 0.0658 0.5329 0.5000
Tb1 Tb 0.1615 0.3231 0.0000
Tb2 Tb 0.3319 0.1660 0.5000
Pr1 Pr 0.6667 0.3333 0.0000



17.
# La2TbPr9 (PBE, optimized geometry)
# raw total energy: -4.779 eV per atom
# formation energy from the elements: 0.01 eV/atom
# spin magnetization: 0.00 Bohr magnetons per cell
data_La2TbPr9
_chemical_formula_sum 'La2 Tb1 Pr9'
_space_group_name_H-M_alt 'P 4/m m m'
_space_group_IT_number 123
_space_group_name_Hall '-P 4 2'
_cell_length_a 5.241
_cell_length_b 5.241
_cell_length_c 15.731
_cell_angle_alpha 90.00
_cell_angle_beta 90.00
_cell_angle_gamma 90.00
loop_
_atom_site_label
_atom_site_type_symbol
_atom_site_fract_x
_atom_site_fract_y
_atom_site_fract_z
La1 La 0.000 0.000 0.168
Tb1 Tb 0.000 0.000 0.500
Pr1 Pr 0.000 0.500 0.000
Pr2 Pr 0.000 0.500 0.336
Pr3 Pr 0.500 0.500 0.168
Pr4 Pr 0.500 0.500 0.500



18.
# La3TbPr6 (PBE, optimized geometry)
# raw total energy: -4.647 eV per atom
# formation energy from the elements: 0.16 eV/atom
# spin magnetization: 0.00 Bohr magnetons per cell
data_La3TbPr6
_chemical_formula_sum 'La12 Tb4 Pr24'
_space_group_name_H-M_alt 'C m c 21'
_space_group_IT_number 36
_cell_length_a 13.714
_cell_length_b 16.547
_cell_length_c 6.436
_cell_angle_alpha 90.00
_cell_angle_beta 90.00
_cell_angle_gamma 90.00
loop_
_space_group_symop_operation_xyz
'x,y,z'
'-x,-y,z+1/2'
'-x,y,z'
'x,-y,z+1/2'
'x+1/2,y+1/2,z'
'-x+1/2,-y+1/2,z+1/2'
'-x+1/2,y+1/2,z'
'x+1/2,-y+1/2,z+1/2'
loop_
_atom_site_label
_atom_site_type_symbol
_atom_site_fract_x
_atom_site_fract_y
_atom_site_fract_z
La1 La 0.000 0.136 0.000
La2 La 0.207 0.429 0.364
Tb1 Tb 0.000 0.346 0.089
Pr1 Pr 0.000 0.242 0.526
Pr2 Pr 0.000 0.439 0.637
Pr3 Pr 0.120 0.060 0.483
Pr4 Pr 0.225 0.290 0.811



19.
# La2Tb3Pr4 (PBE, optimized geometry)
# raw total energy: -4.616 eV per atom
# formation energy from the elements: 0.15 eV/atom
# spin magnetization: 0.00 Bohr magnetons per cell
data_La2Tb3Pr4
_chemical_formula_sum 'La2 Tb3 Pr4'
_space_group_name_H-M_alt 'P 3 m 1'
_space_group_IT_number 156
_cell_length_a 3.6741
_cell_length_b 3.6741
_cell_length_c 32.7118
_cell_angle_alpha 90.00
_cell_angle_beta 90.00
_cell_angle_gamma 120.00
loop_
_space_group_symop_operation_xyz
'x,y,z'
'-y,x-y,z'
'-x+y,-x,z'
'-y,-x,z'
'-x+y,y,z'
'x,x-y,z'
loop_
_atom_site_label
_atom_site_type_symbol
_atom_site_fract_x
_atom_site_fract_y
_atom_site_fract_z
La1 La 0.0000 0.0000 0.0000
La2 La 0.0000 0.0000 0.1778
Tb1 Tb 0.0000 0.0000 0.8152
Tb2 Tb 0.3333 0.6667 0.0912
Tb3 Tb 0.3333 0.6667 0.5402
Pr1 Pr 0.0000 0.0000 0.4537
Pr2 Pr 0.0000 0.0000 0.6310
Pr3 Pr 0.3333 0.6667 0.7253
Pr4 Pr 0.3333 0.6667 0.9044